P | Compound: ScBe2Cd
Source: the Alexandria database
Functional: PBE
Structure: optimized geometry

Lattice parameters (Å, degrees): 3.8277 3.8277 15.3643 90.00 90.00 120.00
Closest atoms and distances in Å follow each position.
Space group R3m (No. 160, hexagonal axes)
One atom of each set of equivalent atoms:
Sc 0.0000 0.0000 0.0000 (multiplicity 3)  6 Be 2.74-2.77, 4 Cd 3.03-3.05
Be 0.0000 0.0000 0.4386 (multiplicity 3)  3 Be 2.21
Be 0.0000 0.0000 0.7752 (multiplicity 3)  3 Be 2.21
Cd 0.0000 0.0000 0.1982 (multiplicity 3)  6 Be 2.60-2.63

Results
magnetization = 0.00 μB/atom



Q | Compound: ScBe2Cd
Source: the Alexandria database
Functional: PBE
Structure: optimized geometry

Lattice parameters (Å, degrees): 6.1628 6.2980 4.4038 90.00 134.39 90.00
Closest atoms and distances in Å follow each position.
Space group C2 (No. 5)
One atom of each set of equivalent atoms:
Sc 0.0000 0.0000 0.0000 (multiplicity 2)  4 Be 2.70-2.71, 4 Cd 2.71
Be 0.0000 0.2492 0.5000 (multiplicity 2)  4 Be 2.70-2.71, 4 Sc 2.70-2.71
Be 0.0000 0.5003 0.0000 (multiplicity 2)  4 Be 2.70-2.71, 4 Cd 2.71
Cd 0.0000 0.7502 0.5000 (multiplicity 2)  4 Sc 2.71, 4 Be 2.71

Results
magnetization = 0.00 μB/atom



The least stable of them is Q.



P | Compound: Sc3BeCd
Source: the Alexandria database
Functional: PBE
Structure: optimized geometry

Lattice parameters (Å, degrees): 5.2376 5.2376 5.2376 90.00 90.00 90.00
Closest atoms and distances in Å follow each position.
Space group Pm-3m (No. 221)
One atom of each set of equivalent atoms:
Sc 0.0000 0.0000 0.5000 (multiplicity 3)  2 Cd 2.62
Be 0.5000 0.5000 0.5000 (multiplicity 1)  12 Sc 3.70
Cd 0.0000 0.0000 0.0000 (multiplicity 1)  6 Sc 2.62

Results
magnetization = 0.23 μB/atom



Q | Compound: Sc3BeCd
Source: the Alexandria database
Functional: PBE
Structure: optimized geometry

Lattice parameters (Å, degrees): 4.8556 4.8556 4.8556 90.00 90.00 90.00
Closest atoms and distances in Å follow each position.
Space group Pm-3m (No. 221)
One atom of each set of equivalent atoms:
Sc 0.0000 0.0000 0.5000 (multiplicity 3)  2 Be 2.43
Be 0.0000 0.0000 0.0000 (multiplicity 1)  6 Sc 2.43
Cd 0.5000 0.5000 0.5000 (multiplicity 1)  12 Sc 3.43

Results
magnetization = 0.25 μB/atom



The least stable of them is P.



P | Compound: ScBe2Cd2
Source: the Alexandria database
Functional: PBE
Structure: optimized geometry

Lattice parameters (Å, degrees): 4.0362 4.0362 10.3482 90.00 90.00 90.00
Closest atoms and distances in Å follow each position.
Space group I4/mmm (No. 139)
One atom of each set of equivalent atoms:
Sc 0.0000 0.0000 0.0000 (multiplicity 2)  8 Be 3.03, 8 Cd 3.28
Be 0.0000 0.0000 0.4016 (multiplicity 4)  1 Be 2.04
Cd 0.0000 0.5000 0.2500 (multiplicity 4)  4 Be 2.56, 4 Cd 2.85

Results
magnetization = 0.00 μB/atom



Q | Compound: ScBe2Cd2
Source: the Alexandria database
Functional: PBE
Structure: optimized geometry

Lattice parameters (Å, degrees): 7.4246 7.4246 2.9685 90.00 90.00 90.00
Closest atoms and distances in Å follow each position.
Space group P4/mbm (No. 127)
One atom of each set of equivalent atoms:
Sc 0.0000 0.0000 0.0000 (multiplicity 2)  2 Sc 2.97, 4 Be 2.99, 8 Cd 3.11
Be 0.1132 0.3868 0.0000 (multiplicity 4)  1 Be 2.38, 2 Cd 2.64
Cd 0.1791 0.6791 0.5000 (multiplicity 4)  6 Be 2.64-2.67

Results
magnetization = 0.08 μB/atom



The least stable of them is Q.



P | Compound: BeCd2Se
Source: the Alexandria database
Functional: PBE
Structure: optimized geometry

Lattice parameters (Å, degrees): 3.5125 5.7972 8.5876 90.00 90.00 90.00
Closest atoms and distances in Å follow each position.
Space group Cmm2 (No. 35)
One atom of each set of equivalent atoms:
Be 0.0000 0.0000 0.0000 (multiplicity 2)  2 Se 2.11
Cd 0.0000 0.0000 0.5355 (multiplicity 2)  6 Cd 3.10-3.39, 2 Se 3.32
Cd 0.0000 0.5000 0.2376 (multiplicity 2)  2 Be 2.69
Se 0.0000 0.5000 0.8639 (multiplicity 2)  2 Be 2.11

Results
magnetization = 0.00 μB/atom



Q | Compound: BeCd2Se
Source: the Alexandria database
Functional: PBE
Structure: optimized geometry

Lattice parameters (Å, degrees): 5.3889 8.0960 3.7116 90.00 90.36 90.00
Closest atoms and distances in Å follow each position.
Space group C2/m (No. 12)
One atom of each set of equivalent atoms:
Be 0.0000 0.0000 0.0000 (multiplicity 2)  2 Se 2.69
Cd 0.2500 0.2500 0.5000 (multiplicity 4)  2 Cd 2.69
Se 0.0000 0.5000 0.0000 (multiplicity 2)  2 Be 2.69

Results
magnetization = 0.00 μB/atom



R | Compound: BeCd2Se
Source: the Alexandria database
Functional: PBE
Structure: optimized geometry

Lattice parameters (Å, degrees): 2.8344 3.4506 7.9553 90.00 90.06 90.00
Closest atoms and distances in Å follow each position.
Space group P2/m (No. 10)
One atom of each set of equivalent atoms:
Be 0.0000 0.0000 0.0000 (multiplicity 1)  8 Cd 2.77-2.78, 2 Be 2.83
Cd 0.4994 0.5000 0.7929 (multiplicity 2)  4 Be 2.77-2.78, 2 Cd 2.83, 2 Se 2.90
Se 0.5000 0.0000 0.5000 (multiplicity 1)  2 Se 2.83, 4 Cd 2.90

Results
magnetization = 0.00 μB/atom



S | Compound: BeCd2Se
Source: the Alexandria database
Functional: PBE
Structure: optimized geometry

Lattice parameters (Å, degrees): 6.9388 6.9388 6.9388 90.00 90.00 90.00
Closest atoms and distances in Å follow each position.
Space group Fm-3m (No. 225)
One atom of each set of equivalent atoms:
Be 0.0000 0.0000 0.0000 (multiplicity 4)  8 Cd 3.00
Cd 0.2500 0.2500 0.2500 (multiplicity 8)  4 Se 3.00, 4 Be 3.00
Se 0.0000 0.0000 0.5000 (multiplicity 4)  8 Cd 3.00

Results
magnetization = 0.00 μB/atom



The least stable of them is S.